The following is a PBE calculation of La4Pr4Er3 after structural relaxation, from Alexandria.

The space group is Amm2 (No. 38) and the conventional cell measures 10.867, 5.831 and 12.223 Å, with angles of 90.00, 90.00 and 90.00 degrees. Symmetry generates all atoms from La at (0.000, 0.000, 0.000), La at (0.196, 0.000, 0.803), La at (0.500, 0.000, 0.937), Pr at (0.000, 0.000, 0.585), Pr at (0.302, 0.000, 0.151), Pr at (0.500, 0.000, 0.661), Er at (0.000, 0.000, 0.297) and Er at (0.289, 0.000, 0.455).

The crystal system is orthorhombic. The formation energy from the elements comes out at 0.129 eV per atom. For the density of states at the Fermi level, the calculation gives 37.38 states/eV per cell. The energy above the lowest structure with this stoichiometry comes out at 17 meV/atom. The value obtained for the volume is 35.21 A^3/atom.

The following is a PBE calculation of Nb2HgSe2 after structural relaxation, from Alexandria.

The space group is I4/mmm (No. 139) and the conventional cell measures 3.893, 3.893 and 17.915 Å, with angles of 90.00, 90.00 and 90.00 degrees. Symmetry generates all atoms from Nb at (0.000, 0.500, 0.250), Hg at (0.000, 0.000, 0.000) and Se at (0.000, 0.000, 0.353).

The crystal system is tetragonal. For the density of states at the Fermi level, the calculation gives 10.87 states/eV per cell. The energy above the lowest structure with this stoichiometry comes out at 0 meV/atom. The value obtained for the volume is 27.15 A^3/atom. The calculation puts the uncorrected formation energy at -0.395 eV/atom.

The following is a PBE calculation of SrSiHg after structural relaxation, from Alexandria.

The space group is P-1 (No. 2) and the conventional cell measures 3.969, 4.633 and 8.952 Å, with angles of 104.29, 90.27 and 90.01 degrees. Symmetry generates all atoms from Sr at (0.248, 0.403, 0.296), Si at (0.251, 0.036, 0.579) and Hg at (0.253, 0.204, 0.917).

The crystal system is triclinic. For the density of states at the Fermi level, the calculation gives 2.53 states/eV per cell. The value obtained for the volume is 26.58 A^3/atom. The calculation puts the uncorrected formation energy at -0.407 eV/atom.

The following is a PBE calculation of MgCd2Cu after structural relaxation, from Alexandria.

The space group is R-3m (No. 166, hexagonal axes) and the conventional cell measures 3.0491, 3.0491 and 28.9338 Å, with angles of 90.00, 90.00 and 120.00 degrees. Symmetry generates all atoms from Mg at (0.0000, 0.0000, 0.0000), Cd at (0.0000, 0.0000, 0.2423) and Cu at (0.0000, 0.0000, 0.5000).

The crystal system is trigonal. The formation energy from the elements comes out at 0.080 eV per atom. For the density of states at the Fermi level, the calculation gives 4.13 states/eV per cell. The value obtained for the volume is 19.41 A^3/atom.